Entry 1:
MnAgSb: relaxed, PBE.

Output
**Raw total energy**: -5.1184 eV/atom
**Crystal system**: orthorhombic
**E_form (uncorrected)**: 263 meV/atom
**Space group**: No. 44

a b c (Å): 5.3917 5.3917 5.3917
angles (deg): 146.06 137.32 55.61
Last column: nearest neighbours and their distance in Å.
Fractional positions:
Mn 0.0000 0.0000 0.0000  4 Sb 2.92, 4 Ag 2.93, 2 Mn 3.15
Ag 0.3432 0.3432 0.0000  5 Mn 2.93-3.27, 5 Sb 2.97-3.09, 2 Ag 3.15
Sb 0.6549 0.6549 0.0000  4 Mn 2.92, 5 Ag 2.97-3.09, 2 Sb 3.15

Entry 2:
Mn2ZnAgSb: relaxed, PBE.

Output
**Raw total energy**: -4.3206 eV/atom
**Crystal system**: tetragonal
**E_form (uncorrected)**: 997 meV/atom
**Space group**: No. 123

a b c (Å): 5.0433 5.0433 5.1711
angles (deg): 90.00 90.00 90.00
Last column: nearest neighbours and their distance in Å.
Fractional positions:
Mn 0.0000 0.5000 0.0000  2 Ag 2.52
Mn 0.5000 0.0000 0.0000  2 Ag 2.52
Zn 0.0000 0.0000 0.5000  4 Sb 3.57, 8 Mn 3.61
Ag 0.5000 0.5000 0.0000  4 Mn 2.52, 2 Sb 2.59
Sb 0.5000 0.5000 0.5000  2 Ag 2.59